The following is a PBE calculation of a geometry-optimized PrInHg structure, from Alexandria.

Computed properties:
DOS at the Fermi energy   0.83 states/eV/cell
ΔH_f (0 K)   -0.45 eV/atom
SG   F-43m (216)

The structure in CIF format:
```
data_PrInHg
_cell_length_a 5.008
_cell_length_b 5.008
_cell_length_c 5.008
_cell_angle_alpha 60.00
_cell_angle_beta 60.00
_cell_angle_gamma 60.00
_space_group_name_H-M_alt 'P 1'
_space_group_IT_number 1
loop_
_space_group_symop_operation_xyz
'x,y,z'
loop_
_atom_site_label
_atom_site_type_symbol
_atom_site_fract_x
_atom_site_fract_y
_atom_site_fract_z
Pr1 Pr 0.000 0.000 0.000
In1 In 0.500 0.500 0.500
Hg1 Hg 0.750 0.750 0.750
```



The following is a PBE calculation of a geometry-optimized Pr2In2Hg3 structure, from Alexandria.

Computed properties:
DOS at the Fermi energy   14.13 states/eV/cell
ΔH_f (0 K)   -0.22 eV/atom
SG   I2_13 (199)

The structure in CIF format:
```
data_Pr2In2Hg3
_cell_length_a 8.075
_cell_length_b 8.075
_cell_length_c 8.075
_cell_angle_alpha 109.47
_cell_angle_beta 109.47
_cell_angle_gamma 109.47
_space_group_name_H-M_alt 'P 1'
_space_group_IT_number 1
loop_
_space_group_symop_operation_xyz
'x,y,z'
loop_
_atom_site_label
_atom_site_type_symbol
_atom_site_fract_x
_atom_site_fract_y
_atom_site_fract_z
Pr1 Pr 0.000 0.494 0.500
Pr2 Pr 0.006 0.006 0.006
Pr3 Pr 0.494 0.500 0.000
Pr4 Pr 0.500 0.000 0.494
In1 In 0.000 0.883 0.500
In2 In 0.500 0.000 0.883
In3 In 0.617 0.617 0.617
In4 In 0.883 0.500 0.000
Hg1 Hg 0.244 0.750 0.994
Hg2 Hg 0.250 0.506 0.256
Hg3 Hg 0.256 0.250 0.506
Hg4 Hg 0.506 0.256 0.250
Hg5 Hg 0.750 0.994 0.244
Hg6 Hg 0.994 0.244 0.750
```



The following is a PBE calculation of a geometry-optimized Pr3In4Hg2 structure, from Alexandria.

Computed properties:
DOS at the Fermi energy   5.29 states/eV/cell
Excess energy over the best structure of this formula in the dataset   0.035 eV/atom
ΔH_f (0 K)   -0.44 eV/atom
SG   P-62m (189)

The structure in CIF format:
```
data_Pr3In4Hg2
_cell_length_a 7.965
_cell_length_b 7.965
_cell_length_c 4.528
_cell_angle_alpha 90.00
_cell_angle_beta 90.00
_cell_angle_gamma 120.00
_space_group_name_H-M_alt 'P 1'
_space_group_IT_number 1
loop_
_space_group_symop_operation_xyz
'x,y,z'
loop_
_atom_site_label
_atom_site_type_symbol
_atom_site_fract_x
_atom_site_fract_y
_atom_site_fract_z
Pr1 Pr 0.000 0.596 0.000
Pr2 Pr 0.404 0.404 0.000
Pr3 Pr 0.596 0.000 0.000
In1 In 0.000 0.000 0.000
In2 In 0.000 0.256 0.500
In3 In 0.256 0.000 0.500
In4 In 0.744 0.744 0.500
Hg1 Hg 0.333 0.667 0.500
Hg2 Hg 0.667 0.333 0.500
```



The following is a PBE calculation of a geometry-optimized PrPuInHg structure, from Alexandria.

Computed properties:
DOS at the Fermi energy   9.73 states/eV/cell
ΔH_f (0 K)   -0.26 eV/atom
SG   F-43m (216)

The structure in CIF format:
```
data_PrPuInHg
_cell_length_a 5.435
_cell_length_b 5.435
_cell_length_c 5.435
_cell_angle_alpha 60.00
_cell_angle_beta 60.00
_cell_angle_gamma 60.00
_space_group_name_H-M_alt 'P 1'
_space_group_IT_number 1
loop_
_space_group_symop_operation_xyz
'x,y,z'
loop_
_atom_site_label
_atom_site_type_symbol
_atom_site_fract_x
_atom_site_fract_y
_atom_site_fract_z
Pr1 Pr 0.000 0.000 0.000
Pu1 Pu 0.500 0.500 0.500
In1 In 0.250 0.250 0.250
Hg1 Hg 0.750 0.750 0.750
```



The following is a PBE calculation of a geometry-optimized PrSc2In2Hg2 structure, from Alexandria.

Computed properties:
DOS at the Fermi energy   5.14 states/eV/cell
ΔH_f (0 K)   -0.30 eV/atom
SG   R-3m (166)

The structure in CIF format:
```
data_PrSc2In2Hg2
_cell_length_a 9.162
_cell_length_b 9.162
_cell_length_c 9.162
_cell_angle_alpha 30.59
_cell_angle_beta 30.59
_cell_angle_gamma 30.59
_space_group_name_H-M_alt 'P 1'
_space_group_IT_number 1
loop_
_space_group_symop_operation_xyz
'x,y,z'
loop_
_atom_site_label
_atom_site_type_symbol
_atom_site_fract_x
_atom_site_fract_y
_atom_site_fract_z
Pr1 Pr 0.000 0.000 0.000
Sc1 Sc 0.136 0.136 0.136
Sc2 Sc 0.864 0.864 0.864
In1 In 0.263 0.263 0.263
In2 In 0.737 0.737 0.737
Hg1 Hg 0.439 0.439 0.439
Hg2 Hg 0.561 0.561 0.561
```



The following is a PBE calculation of a geometry-optimized PrScInHg structure, from Alexandria.

Computed properties:
DOS at the Fermi energy   4.31 states/eV/cell
ΔH_f (0 K)   -0.42 eV/atom
SG   F-43m (216)

The structure in CIF format:
```
data_PrScInHg
_cell_length_a 5.284
_cell_length_b 5.284
_cell_length_c 5.284
_cell_angle_alpha 60.00
_cell_angle_beta 60.00
_cell_angle_gamma 60.00
_space_group_name_H-M_alt 'P 1'
_space_group_IT_number 1
loop_
_space_group_symop_operation_xyz
'x,y,z'
loop_
_atom_site_label
_atom_site_type_symbol
_atom_site_fract_x
_atom_site_fract_y
_atom_site_fract_z
Pr1 Pr 0.000 0.000 0.000
Sc1 Sc 0.500 0.500 0.500
In1 In 0.250 0.250 0.250
Hg1 Hg 0.750 0.750 0.750
```



Number 1: electronic total energy -9.18 eV per cell, total moment 0.0 μB per formula unit. Number 2: electronic total energy -35.01 eV per cell, total moment 0.0 μB per formula unit. Number 3: electronic total energy -29.84 eV per cell, total moment 0.0 μB per formula unit. Number 4: electronic total energy -23.20 eV per cell, total moment 6.5 μB per formula unit. Number 5: electronic total energy -25.64 eV per cell, total moment 0.0 μB per formula unit. Number 6: electronic total energy -15.82 eV per cell, total moment 0.6 μB per formula unit.